YSc2Cu | PBE-GGA | relaxed

E: -5.745 eV/atom
excess energy over the best structure of this formula in the dataset: 173 meV per atom
total magnetic moment: 0.000 Bohr magnetons per cell
E_form: 0.2 eV/f.u.

Cell lengths 9.615, 9.615, 9.615 Å; angles 20.53, 20.53, 20.53 degrees
Sites, in units of the cell vectors:
Y  0.000  0.000  0.000
Sc  0.233  0.233  0.233
Sc  0.767  0.767  0.767
Cu  0.500  0.500  0.500